No. 1
GeBF2: relaxed, PBE.

```
GeBF2
1.0
0.000 3.798 3.798
3.798 0.000 3.798
3.798 3.798 0.000
Ge B F
2 2 4
direct
0.125 0.125 0.125
0.875 0.875 0.875
0.375 0.375 0.375
0.625 0.625 0.625
0.000 0.500 0.500
0.500 0.000 0.500
0.500 0.500 0.000
0.500 0.500 0.500
```

Properties
For the energy relative to the lowest polymorph listed for this composition, the calculation gives 0.6063 eV/atom. For the uncorrected formation energy, the calculation gives -210 meV/atom. Its volume is 109.6 Å³/cell.

---

No. 2
TcAgBr2: relaxed, PBE.

```
TcAgBr2
1.0
3.138 0.000 0.000
0.000 5.871 0.000
0.000 0.000 10.355
Tc Ag Br
2 2 4
direct
0.000 0.000 0.000
0.500 0.500 0.000
0.000 0.000 0.500
0.500 0.500 0.500
0.000 0.500 0.192
0.000 0.500 0.808
0.500 0.000 0.192
0.500 0.000 0.808
```

Properties
For the energy relative to the lowest polymorph listed for this composition, the calculation gives 0.2753 eV/atom. For the uncorrected formation energy, the calculation gives 486 meV/atom. Its volume is 190.8 Å³/cell.

---

No. 3
BeReAu2: relaxed, PBE.

```
BeReAu2
1.0
5.463 0.000 0.000
0.000 8.278 0.000
0.000 0.000 2.718
Be Re Au
2 2 4
direct
0.000 0.000 0.000
0.500 0.500 0.000
0.000 0.500 0.000
0.500 0.000 0.000
0.250 0.250 0.500
0.250 0.750 0.500
0.750 0.250 0.500
0.750 0.750 0.500
```

Properties
The energy of formation comes out at 0.4414 eV per atom. Its volume is 122.9 Å³/cell.

---

No. 4
Nd2Tl3PbS6: relaxed, PBE.

```
Nd2Tl3PbS6
1.0
3.648 -6.328 0.000
3.648 6.328 0.000
-2.395 0.000 7.245
Nd Tl Pb S
2 3 1 6
direct
0.167 0.833 0.000
0.833 0.167 0.000
0.000 0.000 0.500
0.333 0.667 0.500
0.667 0.333 0.500
0.500 0.500 0.000
0.082 0.428 0.784
0.225 0.225 0.215
0.428 0.082 0.784
0.572 0.918 0.216
0.775 0.775 0.785
0.918 0.572 0.216
```

Properties
For the uncorrected formation energy, the calculation gives -1058 meV/atom. Its volume is 334.6 Å³/cell.

---

No. 5
Na2AgICl2: relaxed, PBE.

```
Na2AgICl2
1.0
5.171 0.000 0.000
0.000 5.171 0.000
0.000 0.000 13.116
Na Ag I Cl
4 2 2 4
direct
0.000 0.500 0.250
0.000 0.500 0.750
0.500 0.000 0.250
0.500 0.000 0.750
0.000 0.000 0.000
0.500 0.500 0.500
0.000 0.000 0.500
0.500 0.500 0.000
0.000 0.000 0.189
0.000 0.000 0.811
0.500 0.500 0.311
0.500 0.500 0.689
```

Properties
For the uncorrected formation energy, the calculation gives -1117 meV/atom. Its volume is 350.7 Å³/cell.

---

No. 6
HfGaPtRh: relaxed, PBE.

```
HfGaPtRh
1.0
4.115 0.000 0.000
0.000 4.115 0.000
0.000 0.000 7.578
Hf Ga Pt Rh
2 2 2 2
direct
0.000 0.000 0.000
0.500 0.500 0.500
0.000 0.000 0.500
0.500 0.500 0.000
0.000 0.500 0.750
0.500 0.000 0.250
0.000 0.500 0.250
0.500 0.000 0.750
```

Properties
The energy of formation comes out at -0.9300 eV per atom. Its volume is 128.3 Å³/cell.

---

No. 7
LiSmHoRh: relaxed, PBE.

```
LiSmHoRh
1.0
7.035 0.000 0.000
0.000 7.035 0.000
0.000 0.000 7.035
Li Sm Ho Rh
4 4 4 4
direct
0.000 0.000 0.000
0.000 0.500 0.500
0.500 0.000 0.500
0.500 0.500 0.000
0.250 0.250 0.250
0.250 0.750 0.750
0.750 0.250 0.750
0.750 0.750 0.250
0.250 0.250 0.750
0.250 0.750 0.250
0.750 0.250 0.250
0.750 0.750 0.750
0.000 0.000 0.500
0.000 0.500 0.000
0.500 0.000 0.000
0.500 0.500 0.500
```

Properties
The energy of formation comes out at -0.4455 eV per atom. Its volume is 348.2 Å³/cell.

---

No. 8
Pr2Te2H: relaxed, PBE.

```
Pr2Te2H
1.0
2.042 -5.655 0.000
2.042 5.655 0.000
0.000 0.000 11.955
Pr Te H
4 4 2
direct
0.050 0.950 0.500
0.227 0.773 0.749
0.773 0.227 0.249
0.950 0.050 0.000
0.061 0.939 0.240
0.329 0.671 0.457
0.671 0.329 0.957
0.939 0.061 0.740
0.363 0.637 0.114
0.637 0.363 0.614
```

Properties
Its volume is 276.1 Å³/cell. The value obtained for the total energy is -24.61 eV/f.u.

---

No. 9
MgSbOs: relaxed, PBE.

```
MgSbOs
1.0
3.197 0.000 0.000
0.000 3.197 0.000
0.000 0.000 11.932
Mg Sb Os
2 2 2
direct
0.000 0.000 0.000
0.500 0.500 0.500
0.000 0.000 0.734
0.500 0.500 0.234
0.000 0.000 0.360
0.500 0.500 0.860
```

Properties
For the uncorrected formation energy, the calculation gives 144 meV/atom. Its volume is 121.9 Å³/cell.

---

No. 10
Ba4FeTe: relaxed, PBE.

```
Ba4FeTe
1.0
0.000 5.086 5.086
5.086 0.000 5.086
5.086 5.086 0.000
Ba Fe Te
4 1 1
direct
0.376 0.376 0.376
0.376 0.376 0.873
0.376 0.873 0.376
0.873 0.376 0.376
0.000 0.000 0.000
0.750 0.750 0.750
```

Properties
For the uncorrected formation energy, the calculation gives 520 meV/atom. Its volume is 263.1 Å³/cell.

---

No. 11
BeCl2O: relaxed, PBE.

```
BeCl2O
1.0
5.351 0.000 0.000
-2.676 4.634 0.000
0.000 0.000 17.043
Be Cl O
3 6 3
direct
0.000 0.000 0.000
0.333 0.667 0.667
0.667 0.333 0.333
0.000 0.000 0.105
0.000 0.000 0.895
0.333 0.667 0.561
0.333 0.667 0.772
0.667 0.333 0.228
0.667 0.333 0.439
0.000 0.000 0.500
0.333 0.667 0.167
0.667 0.333 0.833
```

Properties
For the energy relative to the lowest polymorph listed for this composition, the calculation gives 0.2063 eV/atom. For the uncorrected formation energy, the calculation gives -79 meV/atom. Its volume is 422.6 Å³/cell.

---

No. 12
CrAu3: relaxed, PBE.

```
CrAu3
1.0
5.242 0.000 0.000
0.000 5.242 0.000
0.000 0.000 5.242
Cr Au
2 6
direct
0.000 0.000 0.000
0.500 0.500 0.500
0.000 0.250 0.500
0.000 0.750 0.500
0.250 0.500 0.000
0.500 0.000 0.250
0.500 0.000 0.750
0.750 0.500 0.000
```

Properties
The energy of formation comes out at 0.1471 eV per atom. Its volume is 144.0 Å³/cell.

---

No. 13
MgMn2Sb: relaxed, PBE.

```
MgMn2Sb
1.0
3.966 0.000 0.000
0.000 3.966 0.000
0.000 0.000 8.627
Mg Mn Sb
2 4 2
direct
0.000 0.000 0.000
0.500 0.500 0.500
0.000 0.000 0.500
0.000 0.500 0.750
0.500 0.000 0.250
0.500 0.500 0.000
0.000 0.500 0.250
0.500 0.000 0.750
```

Properties
For the uncorrected formation energy, the calculation gives 129 meV/atom. Its volume is 135.7 Å³/cell.

---

No. 14
BaMgZnRu2: relaxed, PBE.

```
BaMgZnRu2
1.0
4.867 0.000 0.000
0.000 4.867 0.000
0.000 0.000 4.871
Ba Mg Zn Ru
1 1 1 2
direct
0.000 0.000 0.000
0.500 0.500 0.500
0.500 0.500 0.000
0.000 0.500 0.500
0.500 0.000 0.500
```

Properties
The energy of formation comes out at 0.9203 eV per atom. Its volume is 115.4 Å³/cell.

---

No. 15
Ta2CdIr: relaxed, PBE.

```
Ta2CdIr
1.0
2.891 0.000 0.000
0.000 4.154 0.000
-0.013 0.000 5.779
Ta Cd Ir
2 1 1
direct
0.000 0.000 0.234
0.000 0.000 0.766
0.500 0.500 0.500
0.500 0.500 0.000
```

Properties
The energy of formation comes out at -0.0826 eV per atom. Its volume is 69.4 Å³/cell.

---

No. 16
RbPu2Cl8: relaxed, PBE.

```
RbPu2Cl8
1.0
6.576 0.000 0.000
0.000 6.576 0.000
0.000 0.000 8.047
Rb Pu Cl
1 2 8
direct
0.000 0.000 0.000
0.000 0.500 0.500
0.500 0.000 0.500
0.251 0.251 0.303
0.251 0.251 0.697
0.251 0.749 0.303
0.251 0.749 0.697
0.749 0.251 0.303
0.749 0.251 0.697
0.749 0.749 0.303
0.749 0.749 0.697
```

Properties
For the energy relative to the lowest polymorph listed for this composition, the calculation gives 0.0222 eV/atom. For the uncorrected formation energy, the calculation gives -1788 meV/atom. Its volume is 347.9 Å³/cell.

---

No. 17
Ti3ZnN: relaxed, PBE.

```
Ti3ZnN
1.0
3.869 -5.046 0.000
3.869 5.046 0.000
0.000 0.000 4.120
Ti Zn N
6 2 2
direct
0.000 0.000 0.000
0.000 0.000 0.500
0.242 0.431 0.750
0.431 0.242 0.250
0.569 0.758 0.750
0.758 0.569 0.250
0.237 0.763 0.250
0.763 0.237 0.750
0.429 0.571 0.250
0.571 0.429 0.750
```

Properties
For the energy relative to the lowest polymorph listed for this composition, the calculation gives 1.0405 eV/atom. For the uncorrected formation energy, the calculation gives 141 meV/atom. Its volume is 160.9 Å³/cell.

---

No. 18
VNi2Se6: relaxed, PBE.

```
VNi2Se6
1.0
5.674 0.000 0.000
0.000 5.674 0.000
0.000 0.000 11.055
V Ni Se
2 4 12
direct
0.000 0.000 0.000
0.500 0.500 0.500
0.000 0.000 0.333
0.000 0.000 0.667
0.500 0.500 0.167
0.500 0.500 0.833
0.190 0.190 0.500
0.197 0.197 0.167
0.197 0.197 0.833
0.303 0.697 0.333
0.303 0.697 0.667
0.310 0.690 0.000
0.690 0.310 0.000
0.697 0.303 0.333
0.697 0.303 0.667
0.803 0.803 0.167
0.803 0.803 0.833
0.810 0.810 0.500
```

Properties
For the uncorrected formation energy, the calculation gives -210 meV/atom. Its volume is 355.9 Å³/cell.

---

No. 19
Mg2AlCo5B2: relaxed, PBE.

```
Mg2AlCo5B2
1.0
8.832 0.000 0.000
0.000 8.832 0.000
0.000 0.000 2.777
Mg Al Co B
4 2 10 4
direct
0.177 0.323 0.000
0.323 0.823 0.000
0.677 0.177 0.000
0.823 0.677 0.000
0.000 0.000 0.000
0.500 0.500 0.000
0.000 0.500 0.500
0.068 0.779 0.500
0.221 0.068 0.500
0.279 0.568 0.500
0.432 0.279 0.500
0.500 0.000 0.500
0.568 0.721 0.500
0.721 0.432 0.500
0.779 0.932 0.500
0.932 0.221 0.500
0.123 0.623 0.000
0.377 0.123 0.000
0.623 0.877 0.000
0.877 0.377 0.000
```

Properties
The energy of formation comes out at -0.3311 eV per atom. Its volume is 216.7 Å³/cell.

---

No. 20
Li7Cu: relaxed, PBE.

```
Li7Cu
1.0
2.303 1.330 7.545
-2.303 1.330 7.545
0.000 -2.660 7.545
Li Cu
7 1
direct
0.000 0.000 0.000
0.131 0.131 0.131
0.247 0.247 0.247
0.383 0.383 0.383
0.617 0.617 0.617
0.753 0.753 0.753
0.869 0.869 0.869
0.500 0.500 0.500
```

Properties
The energy of formation comes out at 0.0175 eV per atom. For the energy relative to the lowest polymorph listed for this composition, the calculation gives 0.0000 eV/atom. Its volume is 138.7 Å³/cell.

---

| no. | density of states at the Fermi level (states/eV/cell) | theoretical density (Mg/m³) |
| --- | --- | --- |
| 1 | 1.9 | 3.7 |
| 2 | 8.2 | 6.4 |
| 3 | 5.8 | 15.9 |
| 4 | 8.6 | 6.5 |
| 5 | 0.0 | 3.3 |
| 6 | 0.8 | 14.1 |
| 7 | 11.8 | 8.1 |
| 8 | 5.4 | 6.5 |
| 9 | 2.7 | 9.2 |
| 10 | 11.1 | 4.6 |
| 11 | 0.0 | 1.1 |
| 12 | 4.3 | 14.8 |
| 13 | 5.4 | 6.3 |
| 14 | 7.5 | 6.2 |
| 15 | 2.0 | 15.9 |
| 16 | 17.0 | 4.1 |
| 17 | 7.7 | 4.6 |
| 18 | 17.9 | 6.0 |
| 19 | 9.8 | 6.0 |
| 20 | 3.1 | 1.3 |